No. 1
A plane-wave DFT calculation with GGA-PBE was carried out for Cs2Na5Tl5 after structural relaxation.

Unit cell a=5.5292 b=6.7505 c=11.9797 alpha=90.00 beta=90.00 gamma=90.00
Positions (direct):
Tl 0.5000 0.7528 0.7426
Na 0.5000 0.0000 0.0000
Tl 0.5000 0.2472 0.7426
Na 0.0000 0.0000 0.8128
Cs 0.0000 0.0000 0.5000
Na 0.0000 0.5000 0.6675
Tl 0.5000 0.7528 0.2574
Cs 0.0000 0.5000 0.0000
Tl 0.5000 0.2472 0.2574
Tl 0.5000 0.5000 0.5000
Na 0.0000 0.5000 0.3325
Na 0.0000 0.0000 0.1872

Summary:
ρ (g/cm³): 5.21
ΔH_f (0 K) (eV/f.u.): -0.7
Space group: No. 47

***

No. 2
A plane-wave DFT calculation with GGA-PBE was carried out for LiMgSc2S after structural relaxation.

Unit cell a=4.9443 b=4.9443 c=4.4849 alpha=90.00 beta=90.00 gamma=90.00
Positions (direct):
Mg 0.5000 0.5000 0.5000
Sc 0.0000 0.5000 0.0000
Sc 0.5000 0.0000 0.0000
Li 0.0000 0.0000 0.5000
S 0.0000 0.0000 0.0000

Summary:
ρ (g/cm³): 2.32
Uncorrected formation energy (eV per atom): -0.614
Space group: No. 123

***

No. 3
A plane-wave DFT calculation with GGA-PBE was carried out for Pa3Fe2Si4 after structural relaxation.

Unit cell a=4.0760 b=5.5944 c=7.7723 alpha=101.56 beta=90.00 gamma=111.36
Positions (direct):
Si 0.0596 0.1193 0.3858
Si 0.9404 0.8807 0.6142
Fe 0.4086 0.8171 0.7292
Si 0.7254 0.4508 0.0712
Pa 0.6627 0.3254 0.6563
Si 0.2746 0.5492 0.9288
Pa 0.3373 0.6746 0.3437
Pa 0.0000 0.0000 0.0000
Fe 0.5914 0.1829 0.2708

Summary:
ρ (g/cm³): 9.45
Excess energy over the best structure of this formula in the dataset (meV per atom): 0
Uncorrected formation energy (eV per atom): -0.620
Space group: No. 12

***

No. 4
A plane-wave DFT calculation with GGA-PBE was carried out for CuTe3Ir after structural relaxation.

Unit cell a=5.2472 b=5.2472 c=5.2472 alpha=90.00 beta=90.00 gamma=90.00
Positions (direct):
Ir 0.0000 0.0000 0.0000
Cu 0.5000 0.5000 0.5000
Te 0.0000 0.5000 0.0000
Te 0.0000 0.0000 0.5000
Te 0.5000 0.0000 0.0000

Summary:
ρ (g/cm³): 7.34
Excess energy over the best structure of this formula in the dataset (meV per atom): 0
Uncorrected formation energy (eV per atom): 0.814
Space group: No. 221

***

What is the formula in the second record? LiMgSc2S